1.
VASP calculation (meta-GGA SCAN) on a PBEsol-optimized structure of SnTe3O.

Properties
The uncorrected formation energy is 0.1241 eV per atom. The density of states at the Fermi level comes out at 2.5 states/eV/f.u.

Cell lengths 4.8796, 4.8796, 4.8796 Å; angles 90.00, 90.00, 90.00 degrees
Fractional positions:
Te1 0.5000 0.0000 0.0000
Te2 0.0000 0.5000 0.0000
Sn1 0.5000 0.5000 0.5000
Te3 0.0000 0.0000 0.5000
O1 0.0000 0.0000 0.0000

=====

2.
VASP calculation (meta-GGA SCAN) on a PBEsol-optimized structure of ZnSnTeO2.

Properties
The uncorrected formation energy is -0.0746 eV per atom. The density of states at the Fermi level comes out at 2.5 states/eV/f.u.

Cell lengths 4.0844, 4.0844, 5.2093 Å; angles 90.00, 90.00, 90.00 degrees
Last column: magnetic moment on the atom in μB.
Fractional positions:
Zn1 0.0000 0.0000 0.0000  0.05
O1 0.5000 0.0000 0.0000  0.56
Te1 0.0000 0.0000 0.5000  0.14
O2 0.0000 0.5000 0.0000  0.56
Sn1 0.5000 0.5000 0.5000  -0.05

=====

3.
VASP calculation (meta-GGA SCAN) on a PBEsol-optimized structure of Ti2Sn3O10.

Properties
The uncorrected formation energy is -2.3852 eV per atom. The density of states at the Fermi level comes out at 0.0 states/eV/f.u.

Cell lengths 4.7021, 4.7021, 15.5822 Å; angles 90.00, 90.00, 90.06 degrees
Fractional positions:
O1 0.1906 0.8094 0.3041
O2 0.7037 0.7037 0.4000
Sn1 0.5000 0.5000 0.6978
O3 0.8098 0.1902 0.6941
O4 0.2963 0.2963 0.4000
O5 0.8008 0.1992 0.0952
O6 0.1903 0.8097 0.9065
O7 0.1992 0.8008 0.0952
O8 0.3090 0.3090 0.1948
Sn2 0.5000 0.5000 0.2992
O9 0.1902 0.8098 0.6941
O10 0.6939 0.6939 0.8011
O11 0.8138 0.1862 0.4991
Ti1 0.5000 0.5000 0.0973
O12 0.7036 0.7036 0.5976
O13 0.2964 0.2964 0.5976
Ti2 0.0000 0.0000 0.0046
O14 0.1862 0.8138 0.4991
O15 0.3061 0.3061 0.8011
O16 0.6910 0.6910 0.1948
Ti3 0.0000 0.0000 0.5961
Sn3 0.5000 0.5000 0.9049
O17 0.3004 0.3004 0.0073
O18 0.8094 0.1906 0.3041
O19 0.8097 0.1903 0.9065
Sn4 0.0000 0.0000 0.8003
O20 0.6996 0.6996 0.0073
Sn5 0.0000 0.0000 0.1989
Sn6 0.5000 0.5000 0.4987
Ti4 0.0000 0.0000 0.4026

=====

4.
VASP calculation (meta-GGA SCAN) on a PBEsol-optimized structure of Ti9SnO20.

Properties
The uncorrected formation energy is -3.1519 eV per atom. The density of states at the Fermi level comes out at 0.0 states/eV/f.u.

Cell lengths 6.5275, 7.5266, 7.1851 Å; angles 93.94, 90.00, 115.70 degrees
Fractional positions:
O1 0.4372 0.8745 0.2499
Ti1 0.9001 0.8002 0.4064
Ti2 0.7012 0.4024 0.6903
O2 0.6390 0.2780 0.4434
O3 0.0034 0.3974 0.6993
O4 0.9966 0.6026 0.3007
O5 0.9611 0.9222 0.1548
O6 0.8055 0.0000 0.5000
O7 0.2400 0.4800 0.0460
O8 0.1923 0.7881 0.8930
O9 0.5957 0.7881 0.8930
O10 0.0389 0.0778 0.8452
O11 0.8077 0.2119 0.1070
Sn1 0.5000 0.0000 0.0000
O12 0.8385 0.6769 0.6400
O13 0.7600 0.5200 0.9540
Ti3 0.7067 0.4133 0.1950
O14 0.3610 0.7220 0.5566
O15 0.4043 0.2119 0.1070
O16 0.1945 0.0000 0.5000
Ti4 0.2933 0.5867 0.8050
Ti5 0.0997 0.1995 0.0950
O17 0.3940 0.3974 0.6993
O18 0.6060 0.6026 0.3007
Ti6 0.9003 0.8005 0.9050
O19 0.1615 0.3231 0.3600
O20 0.5628 0.1255 0.7501
Ti7 0.0999 0.1998 0.5936
Ti8 0.2988 0.5976 0.3097
Ti9 0.5000 0.0000 0.5000

=====

> Which formula does entry 1 have?

SnTe3O